VASP calculation (PBE+U) on a relaxed MnTlNiF6 crystal.

Summary:
The electronic total energy comes out at -4.86 eV per atom. The mass density is 4.73 g cm⁻³. Its total magnetization is 6.00 μB per formula unit.

```
data_MnTlNiF6
_chemical_formula_sum 'Mn1 Tl1 Ni1 F6'
_cell_length_a 5.335
_cell_length_b 5.345
_cell_length_c 6.066
_cell_angle_alpha 89.94
_cell_angle_beta 89.81
_cell_angle_gamma 61.37
_symmetry_space_group_name_H-M 'P 1'
_symmetry_Int_Tables_number 1
loop_
_symmetry_equiv_pos_as_xyz
'x,y,z'
loop_
_atom_site_label
_atom_site_fract_x
_atom_site_fract_y
_atom_site_fract_z
Mn1 0.000 0.000 0.000
Tl1 0.341 0.341 0.500
Ni1 0.664 0.663 0.000
F1 0.317 0.969 0.830
F2 0.345 0.702 0.192
F3 0.704 0.346 0.807
F4 0.722 0.964 0.177
F5 0.965 0.723 0.823
F6 0.969 0.316 0.171
```